Entry 1:
Hf3PtN | PBE | optimized geometry

The structure belongs to space group C2/m (No. 12); the cell edges are 10.320, 4.506 and 7.666 Å and the angles 90.00°, 109.78° and 90.00°. Symmetry generates all atoms from Hf at (0.103, 0.000, 0.200), Hf at (0.144, 0.500, 0.933), Hf at (0.153, 0.000, 0.643), Pt at (0.089, 0.500, 0.397) and N at (0.123, 0.000, 0.921).

The value obtained for the density is 14.7 g/cm³. As for the density of states at the Fermi level: 0.5920 states/eV per atom. Its volume is 336 Å³ per cell. As for the formation energy without anion corrections: -1.15 eV/atom.


Entry 2:
Hf3PtN | PBE | optimized geometry

The structure belongs to space group C2/m (No. 12); the cell edges are 15.164, 3.182 and 7.732 Å and the angles 90.00°, 95.99° and 90.00°. Symmetry generates all atoms from Hf at (0.003, 0.000, 0.199), Hf at (0.162, 0.500, 0.006), Hf at (0.172, 0.000, 0.645), Pt at (0.179, 0.000, 0.297) and N at (0.083, 0.500, 0.727).

The value obtained for the density is 13.3 g/cm³. As for the density of states at the Fermi level: 0.4979 states/eV per atom. Its volume is 371 Å³ per cell. As for the formation energy without anion corrections: -0.97 eV/atom.


Entry 3:
HfPtN | PBE | optimized geometry

The structure belongs to space group I4/mmm (No. 139); the cell edges are 3.098, 3.098 and 17.818 Å and the angles 90.00°, 90.00° and 90.00°. Symmetry generates all atoms from Hf at (0.000, 0.000, 0.177), Pt at (0.000, 0.000, 0.429) and N at (0.000, 0.000, 0.303).

The value obtained for the density is 15.1 g/cm³. As for the density of states at the Fermi level: 0.3430 states/eV per atom. Its volume is 171 Å³ per cell. As for the formation energy without anion corrections: -1.18 eV/atom.


Entry 4:
HfPt2N | PBE | optimized geometry

The structure belongs to space group I-42d (No. 122); the cell edges are 4.999, 4.999 and 11.694 Å and the angles 90.00°, 90.00° and 90.00°. Symmetry generates all atoms from Hf at (0.000, 0.000, 0.000), Pt at (0.139, 0.250, 0.625) and N at (0.000, 0.000, 0.500).

The value obtained for the density is 13.2 g/cm³. As for the density of states at the Fermi level: 0.7213 states/eV per atom. Its volume is 292 Å³ per cell. As for the formation energy without anion corrections: 0.04 eV/atom.


Entry 5:
Hf3PtN | PBE | optimized geometry

The structure belongs to space group P1 (No. 1); the cell edges are 5.545, 6.045 and 6.298 Å and the angles 61.34°, 70.72° and 89.98°. Symmetry generates all atoms from Hf at (0.000, 0.000, 0.000), Hf at (0.000, 0.497, 0.000), Hf at (0.145, 0.016, 0.463), Hf at (0.458, 0.692, 0.113), Hf at (0.603, 0.216, 0.565), Hf at (0.603, 0.716, 0.564), Pt at (0.058, 0.470, 0.556), Pt at (0.527, 0.245, 0.008), N at (0.308, 0.857, 0.783) and N at (0.851, 0.089, 0.319).

The value obtained for the density is 14.4 g/cm³. As for the density of states at the Fermi level: 0.4596 states/eV per atom. Its volume is 172 Å³ per cell. As for the formation energy without anion corrections: -1.07 eV/atom.


Entry 6:
Hf4PtN | PBE | optimized geometry

The structure belongs to space group C2/c (No. 15); the cell edges are 7.348, 12.840 and 5.632 Å and the angles 90.00°, 123.01° and 90.00°. Symmetry generates all atoms from Hf at (0.142, 0.206, 0.153), Hf at (0.227, 0.049, 0.710), Pt at (0.000, 0.384, 0.750) and N at (0.000, 0.061, 0.250).

The value obtained for the density is 13.8 g/cm³. As for the density of states at the Fermi level: 0.7825 states/eV per atom. Its volume is 446 Å³ per cell. As for the formation energy without anion corrections: -0.84 eV/atom.